Compound: MgZr3N
Source: Alexandria via LeMat-Bulk
Functional: GGA-PBE
Structure: optimized geometry

a b c (Å): 8.460 8.460 5.978
angles (deg): 106.42 106.42 79.84
Sites, in units of the cell vectors:
Mg 0.120 0.880 0.750
Mg 0.142 0.858 0.250
Mg 0.858 0.142 0.750
Mg 0.880 0.120 0.250
Zr 0.066 0.573 0.842
Zr 0.177 0.247 0.623
Zr 0.247 0.177 0.123
Zr 0.311 0.537 0.468
Zr 0.427 0.934 0.658
Zr 0.463 0.689 0.032
Zr 0.537 0.311 0.968
Zr 0.573 0.066 0.342
Zr 0.689 0.463 0.532
Zr 0.753 0.823 0.877
Zr 0.823 0.753 0.377
Zr 0.934 0.427 0.158
N 0.325 0.466 0.805
N 0.466 0.325 0.305
N 0.534 0.675 0.695
N 0.675 0.534 0.195

For the formation energy from raw total energies, the calculation gives -0.40 eV/atom. The calculation puts the density of states at the Fermi level at 1.249 states/eV per atom. The space group is C2/c (15).

***

Compound: MgZr3N
Source: Alexandria via LeMat-Bulk
Functional: GGA-PBE
Structure: optimized geometry

a b c (Å): 3.278 6.713 9.686
angles (deg): 90.00 90.00 90.00
Sites, in units of the cell vectors:
Mg 0.000 0.000 0.000
Mg 0.000 0.500 0.500
Zr 0.000 0.000 0.503
Zr 0.000 0.500 0.003
Zr 0.500 0.236 0.755
Zr 0.500 0.264 0.255
Zr 0.500 0.736 0.255
Zr 0.500 0.764 0.755
N 0.500 0.000 0.365
N 0.500 0.500 0.865

For the formation energy from raw total energies, the calculation gives -0.39 eV/atom. The calculation puts the density of states at the Fermi level at 1.515 states/eV per atom. The space group is Amm2 (38).

***

Compound: MgZr3N
Source: Alexandria via LeMat-Bulk
Functional: GGA-PBE
Structure: optimized geometry

a b c (Å): 3.337 4.452 6.500
angles (deg): 90.00 90.13 90.00
Sites, in units of the cell vectors:
Mg 0.000 0.000 0.000
Zr 0.000 0.000 0.500
Zr 0.499 0.500 0.265
Zr 0.501 0.500 0.735
N 0.000 0.500 0.500

For the formation energy from raw total energies, the calculation gives -0.70 eV/atom. The calculation puts the density of states at the Fermi level at 0.560 states/eV per atom. The space group is P2/m (10).

***

> formation energy from raw total energies of number 3 (MgZr3N)?

-0.70 eV/atom